[1]
Compound: OsSe
Source: Alexandria via LeMat-Bulk
Functional: PBE
Structure: optimized geometry

Values from the calculation:
Calculated total energy   -13.08 eV/cell
SG   Pm-3m (221)
E_form (uncorrected)   78.8 kJ/mol of atoms

a b c (Å): 3.141 3.141 3.141
angles (deg): 90.00 90.00 90.00
Sites, in units of the cell vectors:
Se 0.500 0.500 0.500
Os 0.000 0.000 0.000

=====

[2]
Compound: InHPdPb2
Source: Alexandria via LeMat-Bulk
Functional: PBE
Structure: optimized geometry

Values from the calculation:
Calculated total energy   -17.57 eV/cell
SG   P4/mmm (123)
Energy above the most stable polymorph in this dataset   219 meV/atom

a b c (Å): 4.792 4.552 4.792
angles (deg): 90.00 90.00 90.00
Sites, in units of the cell vectors:
Pb 0.500 0.000 0.000
Pb 0.000 0.000 0.500
H 0.000 0.000 0.000
In 0.000 0.500 0.000
Pd 0.500 0.500 0.500

=====

[3]
Compound: BaNaIn2Pt
Source: Alexandria via LeMat-Bulk
Functional: PBE
Structure: optimized geometry

Values from the calculation:
Calculated total energy   -16.58 eV/cell
SG   P4/mmm (123)
DFT formation energy   -365.0 meV/atom

a b c (Å): 5.246 5.246 5.510
angles (deg): 90.00 90.00 90.00
Sites, in units of the cell vectors:
Na 0.000 0.000 0.500
Ba 0.500 0.500 0.500
In 0.000 0.500 0.000
In 0.500 0.000 0.000
Pt 0.000 0.000 0.000

=====

[4]
Compound: BaBeZn2Rh
Source: Alexandria via LeMat-Bulk
Functional: PBE
Structure: optimized geometry

Values from the calculation:
Calculated total energy   -16.64 eV/cell
SG   P4/mmm (123)
DFT formation energy   -217.6 meV/atom

a b c (Å): 4.937 4.937 4.450
angles (deg): 90.00 90.00 90.00
Sites, in units of the cell vectors:
Zn 0.000 0.500 0.000
Zn 0.500 0.000 0.000
Be 0.000 0.000 0.500
Rh 0.000 0.000 0.000
Ba 0.500 0.500 0.500

=====

[5]
Compound: In2SiNiTe
Source: Alexandria via LeMat-Bulk
Functional: PBE
Structure: optimized geometry

Values from the calculation:
Calculated total energy   -18.49 eV/cell
SG   P4/mmm (123)
E_form (uncorrected)   25.7 kJ/mol of atoms

a b c (Å): 5.357 4.341 5.357
angles (deg): 90.00 90.00 90.00
Sites, in units of the cell vectors:
Si 0.000 0.000 0.000
In 0.500 0.000 0.000
In 0.000 0.000 0.500
Ni 0.000 0.500 0.000
Te 0.500 0.500 0.500

=====

[6]
Compound: K3MgCu2Br9
Source: Alexandria via LeMat-Bulk
Functional: PBE
Structure: optimized geometry

Values from the calculation:
Calculated total energy   -43.82 eV/cell
SG   P-3m1 (164)
E_form (uncorrected)   -100.9 kJ/mol of atoms

a b c (Å): 7.399 7.399 9.096
angles (deg): 90.00 90.00 120.00
Sites, in units of the cell vectors:
Br 0.831 0.662 0.672
Br 0.500 0.500 0.000
Br 0.500 0.000 0.000
Br 0.831 0.169 0.672
Br 0.000 0.500 0.000
Br 0.169 0.831 0.328
Br 0.662 0.831 0.328
Br 0.169 0.338 0.328
Br 0.338 0.169 0.672
K 0.667 0.333 0.338
K 0.333 0.667 0.662
K 0.000 0.000 0.000
Mg 0.000 0.000 0.500
Cu 0.333 0.667 0.160
Cu 0.667 0.333 0.840

=====

[7]
Compound: Na2Cd4Au
Source: Alexandria via LeMat-Bulk
Functional: PBE
Structure: optimized geometry

Values from the calculation:
Calculated total energy   -9.61 eV/cell
SG   Cmmm (65)
DFT formation energy   -5.4 meV/atom

a b c (Å): 4.816 5.687 8.090
angles (deg): 110.58 90.00 90.00
Sites, in units of the cell vectors:
Na 0.500 0.836 0.673
Na 0.500 0.164 0.327
Cd 0.500 0.596 0.192
Cd 0.000 0.701 0.401
Cd 0.500 0.404 0.808
Cd 0.000 0.299 0.599
Au 0.000 0.500 0.000

=====

[8]
Compound: BaMnMo3
Source: Alexandria via LeMat-Bulk
Functional: PBE
Structure: optimized geometry

Values from the calculation:
Calculated total energy   -37.53 eV/cell
SG   Pm-3m (221)
Energy above the most stable polymorph in this dataset   0 meV/atom
DFT formation energy   1210.8 meV/atom

a b c (Å): 4.738 4.738 4.738
angles (deg): 90.00 90.00 90.00
Last column: magnetic moment on the atom in μB.
Sites, in units of the cell vectors:
Mo 0.500 0.000 0.000  0.97
Mo 0.000 0.000 0.500  1.03
Mo 0.000 0.500 0.000  1.06
Ba 0.500 0.500 0.500  0.14
Mn 0.000 0.000 0.000  -0.50

=====

Repeat the third record exactly.
Compound: BaNaIn2Pt
Source: Alexandria via LeMat-Bulk
Functional: PBE
Structure: optimized geometry

Values from the calculation:
Calculated total energy   -16.58 eV/cell
SG   P4/mmm (123)
DFT formation energy   -365.0 meV/atom

a b c (Å): 5.246 5.246 5.510
angles (deg): 90.00 90.00 90.00
Sites, in units of the cell vectors:
Na 0.000 0.000 0.500
Ba 0.500 0.500 0.500
In 0.000 0.500 0.000
In 0.500 0.000 0.000
Pt 0.000 0.000 0.000